This record from Alexandria describes crystalline ZnCrOs2 at its relaxed geometry. The functional is GGA-PBE.

The structure belongs to space group Pmmm (No. 47); the cell edges are 2.738, 3.583 and 5.557 Å and the angles 90.00°, 90.00° and 90.00°. The inequivalent atoms are Zn at (0.000, 0.000, 0.000), Cr at (0.000, 0.000, 0.500) and Os at (0.500, 0.500, 0.261).

For the total energy, the calculation gives -32.5 eV/cell.